{
  "formula": "Nd3SmOs8",
  "functional": "PBE-GGA",
  "state": "relaxed",
  "space_group": "R3m",
  "energy_ev_per_atom": -9.17,
  "dos_ef_per_ev_cell": 13.910,
  "ef_mev_per_atom": -95,
  "lattice_angstrom": [[5.209, 0.000, 1.572], [2.367, 4.640, 1.572], [0.000, 0.000, 9.415]],
  "species": ["Os", "Os", "Os", "Os", "Os", "Os", "Os", "Os", "Nd", "Nd", "Nd", "Sm"],
  "fractional_positions": [[0.941, 0.941, 0.687], [0.941, 0.432, 0.687], [0.691, 0.691, 0.928], [0.432, 0.941, 0.687], [0.441, 0.929, 0.190], [0.441, 0.441, 0.190], [0.929, 0.441, 0.190], [0.191, 0.191, 0.427], [0.999, 0.999, 0.003], [0.499, 0.499, 0.503], [0.374, 0.374, 0.879], [0.874, 0.874, 0.378]]
}

{
  "formula": "YPu3Tl4S8",
  "functional": "PBE-GGA",
  "state": "relaxed",
  "space_group": "R-3m",
  "energy_ev_per_atom": -7.03,
  "dos_ef_per_ev_cell": 27.277,
  "e_form_raw_ev_per_atom": -1.279,
  "lattice_angstrom": [[8.148, 0.000, 0.000], [0.000, 8.815, 0.463], [-4.074, -4.070, 5.765]],
  "species": ["Pu", "Pu", "Pu", "Tl", "Tl", "Tl", "Tl", "S", "S", "S", "S", "S", "S", "S", "S", "Y"],
  "fractional_positions": [[0.500, 0.500, 0.000], [0.500, 0.500, 0.500], [0.000, 0.500, 0.500], [0.500, 0.000, 0.000], [0.000, 0.000, 0.000], [0.500, 0.000, 0.500], [0.000, 0.000, 0.500], [0.232, 0.697, 0.965], [0.733, 0.697, 0.965], [0.768, 0.303, 0.035], [0.232, 0.697, 0.464], [0.768, 0.303, 0.536], [0.269, 0.307, 0.538], [0.731, 0.693, 0.462], [0.267, 0.303, 0.035], [0.000, 0.500, 0.000]]
}

{
  "formula": "BaAc3Si",
  "functional": "PBE-GGA",
  "state": "relaxed",
  "space_group": "Pm-3m",
  "energy_ev_per_atom": -3.97,
  "dos_ef_per_ev_cell": 9.056,
  "e_form_raw_ev_per_atom": -0.040,
  "lattice_angstrom": [[-0.567, 6.114, 0.669], [-6.082, -0.657, 0.850], [0.912, -0.581, 6.081]],
  "species": ["Si", "Ac", "Ac", "Ac", "Ba"],
  "fractional_positions": [[0.000, 0.000, 0.000], [0.000, 0.000, 0.500], [0.000, 0.500, 0.000], [0.500, 0.000, 0.000], [0.500, 0.500, 0.500]]
}

{
  "formula": "Pr2Zn2Co",
  "functional": "PBE-GGA",
  "state": "relaxed",
  "space_group": "C2/m",
  "energy_ev_per_atom": -4.07,
  "dos_ef_per_ev_cell": 7.382,
  "ef_mev_per_atom": -227,
  "lattice_angstrom": [[1.922, 5.667, 0.004], [-1.922, 5.667, 0.004], [0.000, 5.526, 10.499]],
  "species": ["Zn", "Zn", "Zn", "Zn", "Pr", "Pr", "Pr", "Pr", "Co", "Co"],
  "fractional_positions": [[0.624, 0.624, 0.911], [0.506, 0.506, 0.616], [0.494, 0.494, 0.384], [0.376, 0.376, 0.089], [0.076, 0.076, 0.141], [0.211, 0.211, 0.381], [0.789, 0.789, 0.619], [0.924, 0.924, 0.859], [0.273, 0.273, 0.803], [0.727, 0.727, 0.197]]
}

{
  "formula": "Ni2IrS4",
  "functional": "PBE-GGA",
  "state": "relaxed",
  "space_group": "Imma",
  "de_polymorph_ev_per_atom": 0.0000,
  "energy_ev_per_atom": -5.65,
  "dos_ef_per_ev_cell": 8.141,
  "e_form_raw_ev_per_atom": -0.377,
  "lattice_angstrom": [[1.419, -5.398, 4.070], [6.051, -3.087, -0.342], [4.486, 0.589, 5.079]],
  "species": ["Ir", "Ir", "S", "S", "S", "S", "S", "S", "S", "S", "Ni", "Ni", "Ni", "Ni"],
  "fractional_positions": [[0.500, 0.500, 0.000], [0.000, 0.500, 0.000], [0.260, 0.252, 0.228], [0.730, 0.253, 0.753], [0.740, 0.748, 0.772], [0.270, 0.747, 0.247], [0.737, 0.747, 0.247], [0.263, 0.253, 0.753], [0.740, 0.272, 0.248], [0.260, 0.728, 0.752], [0.123, 0.127, 0.627], [0.500, 0.500, 0.500], [0.877, 0.873, 0.373], [0.500, 0.000, 0.000]]
}

{
  "formula": "BaCu2AsSe4",
  "functional": "PBE-GGA",
  "state": "relaxed",
  "space_group": "I222",
  "energy_ev_per_atom": -4.13,
  "dos_ef_per_ev_cell": 4.447,
  "e_form_raw_ev_per_atom": -0.546,
  "lattice_angstrom": [[6.576, 0.000, 0.000], [3.288, 5.758, 0.031], [3.288, 0.502, 5.736]],
  "species": ["Se", "Se", "Se", "Se", "As", "Ba", "Cu", "Cu"],
  "fractional_positions": [[0.897, 0.506, 0.143], [0.454, 0.143, 0.506], [0.546, 0.494, 0.857], [0.103, 0.857, 0.494], [0.500, 0.500, 0.500], [0.000, 0.000, 0.000], [0.157, 0.343, 0.343], [0.843, 0.657, 0.657]]
}

{
  "formula": "SmAgO2",
  "functional": "PBE-GGA",
  "state": "relaxed",
  "space_group": "P6_3/mmc",
  "energy_ev_per_atom": -6.56,
  "dos_ef_per_ev_cell": 0.000,
  "e_form_raw_ev_per_atom": -2.187,
  "lattice_angstrom": [[3.662, 0.000, 0.000], [-1.831, 3.171, 0.000], [0.000, 0.000, 12.542]],
  "species": ["O", "O", "O", "O", "Ag", "Ag", "Sm", "Sm"],
  "fractional_positions": [[0.333, 0.667, 0.416], [0.333, 0.667, 0.084], [0.667, 0.333, 0.584], [0.667, 0.333, 0.916], [0.667, 0.333, 0.750], [0.333, 0.667, 0.250], [0.000, 0.000, 0.000], [0.000, 0.000, 0.500]]
}

{
  "formula": "HgPtPb",
  "functional": "PBE-GGA",
  "state": "relaxed",
  "space_group": "P3m1",
  "de_polymorph_ev_per_atom": 0.1245,
  "energy_ev_per_atom": -3.34,
  "dos_ef_per_ev_cell": 1.061,
  "ef_mev_per_atom": 6,
  "lattice_angstrom": [[-3.404, -1.776, -1.419], [1.089, -0.497, 3.914], [-2.788, 4.290, 1.321]],
  "species": ["Hg", "Pt", "Pb"],
  "fractional_positions": [[0.000, 0.000, 0.952], [0.667, 0.333, 0.663], [0.333, 0.667, 0.385]]
}

{
  "formula": "Ce2ThRh",
  "functional": "PBE-GGA",
  "state": "relaxed",
  "space_group": "P4/mmm",
  "de_polymorph_ev_per_atom": 0.0516,
  "energy_ev_per_atom": -7.01,
  "dos_ef_per_ev_cell": 6.214,
  "ef_mev_per_atom": -349,
  "lattice_angstrom": [[3.582, 0.000, 0.000], [0.000, 3.582, 0.000], [0.000, 0.000, 7.791]],
  "species": ["Ce", "Ce", "Rh", "Th"],
  "fractional_positions": [[0.000, 0.000, 0.792], [0.000, 0.000, 0.208], [0.500, 0.500, 0.000], [0.500, 0.500, 0.500]]
}

{
  "formula": "MnIrW2",
  "functional": "PBE-GGA",
  "state": "relaxed",
  "space_group": "I-42d",
  "de_polymorph_ev_per_atom": 0.7053,
  "energy_ev_per_atom": -10.32,
  "dos_ef_per_ev_cell": 6.017,
  "ef_mev_per_atom": 661,
  "lattice_angstrom": [[-0.443, 2.512, 2.702], [-3.686, -0.169, -0.447], [-2.523, -5.808, 7.541]],
  "species": ["W", "W", "W", "W", "Mn", "Mn", "Ir", "Ir"],
  "fractional_positions": [[0.375, 0.384, 0.750], [0.616, 0.125, 0.250], [0.875, 0.866, 0.750], [0.134, 0.625, 0.250], [0.500, 0.500, 0.000], [0.250, 0.750, 0.500], [0.750, 0.250, 0.500], [0.000, 0.000, 0.000]]
}

{
  "formula": "Pr3NdIn2",
  "functional": "PBE-GGA",
  "state": "relaxed",
  "space_group": "P2/m",
  "de_polymorph_ev_per_atom": 0.0468,
  "energy_ev_per_atom": -4.40,
  "dos_ef_per_ev_cell": 14.692,
  "ef_mev_per_atom": -300,
  "lattice_angstrom": [[5.074, 0.000, 0.098], [0.000, 9.394, 0.000], [-2.385, -4.697, 7.797]],
  "species": ["In", "In", "In", "In", "Pr", "Pr", "Pr", "Pr", "Pr", "Pr", "Nd", "Nd"],
  "fractional_positions": [[0.353, 0.840, 0.681], [0.353, 0.340, 0.681], [0.647, 0.160, 0.319], [0.647, 0.660, 0.319], [0.834, 0.576, 0.652], [0.166, 0.424, 0.348], [0.834, 0.076, 0.652], [0.166, 0.924, 0.348], [0.500, 0.250, 0.000], [0.500, 0.750, 0.000], [0.000, 0.500, 0.000], [0.000, 0.000, 0.000]]
}

{
  "formula": "TbY6Ho",
  "functional": "PBE-GGA",
  "state": "relaxed",
  "space_group": "P-1",
  "de_polymorph_ev_per_atom": 0.0000,
  "energy_ev_per_atom": -5.84,
  "dos_ef_per_ev_cell": 14.000,
  "ef_mev_per_atom": 158,
  "lattice_angstrom": [[6.269, 1.366, 0.751], [4.373, 7.420, -0.478], [4.785, 1.437, 7.044]],
  "species": ["Y", "Y", "Y", "Y", "Y", "Y", "Ho", "Tb"],
  "fractional_positions": [[0.661, 0.045, 0.751], [0.838, 0.751, 0.456], [0.339, 0.955, 0.249], [0.162, 0.249, 0.544], [0.250, 0.456, 0.045], [0.750, 0.544, 0.955], [0.000, 0.000, 0.000], [0.500, 0.500, 0.500]]
}

{
  "formula": "MnFePt2",
  "functional": "PBE-GGA",
  "state": "relaxed",
  "space_group": "I-42d",
  "energy_ev_per_atom": -6.48,
  "dos_ef_per_ev_cell": 8.380,
  "ef_mev_per_atom": 946,
  "lattice_angstrom": [[-3.923, 0.231, -3.594], [-1.946, -4.608, 1.829], [-5.984, 0.489, 2.618]],
  "species": ["Pt", "Pt", "Pt", "Pt", "Mn", "Mn", "Fe", "Fe"],
  "fractional_positions": [[0.125, 0.625, 0.250], [0.875, 0.875, 0.750], [0.375, 0.375, 0.750], [0.625, 0.125, 0.250], [0.250, 0.750, 0.500], [0.500, 0.500, 0.000], [0.750, 0.250, 0.500], [0.000, 0.000, 0.000]]
}

{
  "formula": "LiEuF2",
  "functional": "PBE-GGA",
  "state": "relaxed",
  "space_group": "R-3m",
  "de_polymorph_ev_per_atom": 0.0000,
  "energy_ev_per_atom": -6.56,
  "dos_ef_per_ev_cell": 0.658,
  "e_form_raw_ev_per_atom": -2.577,
  "lattice_angstrom": [[3.294, 0.000, 0.000], [1.647, 2.853, 0.000], [1.647, 0.951, 6.011]],
  "species": ["Li", "F", "F", "Eu"],
  "fractional_positions": [[0.500, 0.500, 0.500], [0.773, 0.773, 0.682], [0.227, 0.227, 0.318], [0.000, 0.000, 0.000]]
}

{
  "formula": "Y2CuHg",
  "functional": "PBE-GGA",
  "state": "relaxed",
  "space_group": "F-43m",
  "energy_ev_per_atom": -4.28,
  "dos_ef_per_ev_cell": 4.102,
  "ef_mev_per_atom": 49,
  "lattice_angstrom": [[5.039, 0.000, 0.000], [2.519, 4.364, 0.000], [2.519, 1.455, 4.114]],
  "species": ["Cu", "Y", "Y", "Hg"],
  "fractional_positions": [[0.500, 0.500, 0.500], [0.000, 0.000, 0.000], [0.250, 0.250, 0.250], [0.750, 0.750, 0.750]]
}

{
  "formula": "DyYPuTh",
  "functional": "PBE-GGA",
  "state": "relaxed",
  "space_group": "F-43m",
  "energy_ev_per_atom": -7.99,
  "dos_ef_per_ev_cell": 12.064,
  "ef_mev_per_atom": 212,
  "lattice_angstrom": [[5.583, 0.000, 0.000], [2.792, 4.835, 0.000], [2.792, 1.612, 4.559]],
  "species": ["Th", "Y", "Dy", "Pu"],
  "fractional_positions": [[0.000, 0.000, 0.000], [0.250, 0.250, 0.250], [0.500, 0.500, 0.500], [0.750, 0.750, 0.750]]
}

{
  "formula": "Dy3Y2Ho4",
  "functional": "PBE-GGA",
  "state": "relaxed",
  "space_group": "C2/m",
  "de_polymorph_ev_per_atom": 0.0000,
  "energy_ev_per_atom": -4.99,
  "dos_ef_per_ev_cell": 11.671,
  "ef_mev_per_atom": 20,
  "lattice_angstrom": [[5.002, 0.000, 0.000], [-2.501, 5.388, -5.232], [0.000, -3.759, 14.136]],
  "species": ["Y", "Y", "Ho", "Ho", "Ho", "Ho", "Dy", "Dy", "Dy"],
  "fractional_positions": [[0.223, 0.447, 0.668], [0.777, 0.553, 0.332], [0.332, 0.665, 0.999], [0.668, 0.335, 0.001], [0.110, 0.220, 0.333], [0.890, 0.780, 0.667], [0.555, 0.111, 0.667], [0.445, 0.889, 0.333], [0.000, 0.000, 0.000]]
}

{
  "formula": "ThAl2Ag3",
  "functional": "PBE-GGA",
  "state": "relaxed",
  "space_group": "Cmcm",
  "energy_ev_per_atom": -4.08,
  "dos_ef_per_ev_cell": 6.795,
  "ef_mev_per_atom": -172,
  "lattice_angstrom": [[-3.522, 4.336, 1.082], [0.368, -1.307, 6.436], [5.056, 4.193, -0.347]],
  "species": ["Al", "Al", "Al", "Al", "Th", "Th", "Ag", "Ag", "Ag", "Ag", "Ag", "Ag"],
  "fractional_positions": [[0.000, 0.772, 0.228], [0.000, 0.228, 0.772], [0.500, 0.228, 0.772], [0.500, 0.772, 0.228], [0.250, 0.347, 0.347], [0.750, 0.653, 0.653], [0.750, 0.020, 0.020], [0.250, 0.886, 0.557], [0.750, 0.443, 0.114], [0.250, 0.980, 0.980], [0.250, 0.557, 0.886], [0.750, 0.114, 0.443]]
}

{
  "formula": "PmB12C3",
  "functional": "PBE-GGA",
  "state": "relaxed",
  "space_group": "R3c",
  "energy_ev_per_atom": -6.51,
  "dos_ef_per_ev_cell": 6.589,
  "ef_mev_per_atom": 526,
  "lattice_angstrom": [[10.094, 0.000, 4.875], [3.870, 9.323, 4.875], [3.438, 2.295, 5.770]],
  "species": ["B", "B", "B", "B", "B", "B", "B", "B", "B", "B", "B", "B", "B", "B", "B", "B", "B", "B", "B", "B", "B", "B", "B", "B", "C", "C", "C", "C", "C", "C", "Pm", "Pm"],
  "fractional_positions": [[0.838, 0.728, 0.000], [0.228, 0.338, 0.500], [0.175, 0.099, 0.986], [0.675, 0.241, 0.486], [0.802, 0.343, 0.396], [0.448, 0.035, 0.014], [0.099, 0.741, 0.986], [0.934, 0.228, 0.500], [0.343, 0.459, 0.396], [0.948, 0.003, 0.514], [0.503, 0.448, 0.014], [0.599, 0.675, 0.486], [0.535, 0.948, 0.514], [0.728, 0.434, 0.000], [0.459, 0.802, 0.396], [0.302, 0.959, 0.896], [0.003, 0.535, 0.514], [0.843, 0.302, 0.896], [0.434, 0.838, 0.000], [0.035, 0.503, 0.014], [0.741, 0.175, 0.986], [0.241, 0.599, 0.486], [0.338, 0.934, 0.500], [0.959, 0.843, 0.896], [0.155, 0.512, 0.499], [0.834, 0.155, 0.499], [0.334, 0.012, 0.999], [0.512, 0.834, 0.499], [0.655, 0.334, 0.999], [0.012, 0.655, 0.999], [0.957, 0.957, 0.128], [0.457, 0.457, 0.628]]
}

{
  "formula": "CsNiIBr2",
  "functional": "PBE-GGA",
  "state": "relaxed",
  "space_group": "P4/mmm",
  "energy_ev_per_atom": -3.03,
  "dos_ef_per_ev_cell": 3.428,
  "e_form_raw_ev_per_atom": -0.728,
  "lattice_angstrom": [[5.262, 0.000, 0.000], [0.000, 5.262, 0.000], [0.000, 0.000, 5.428]],
  "species": ["I", "Br", "Br", "Cs", "Ni"],
  "fractional_positions": [[0.000, 0.000, 0.500], [0.500, 0.000, 0.000], [0.000, 0.500, 0.000], [0.500, 0.500, 0.500], [0.000, 0.000, 0.000]]
}

{
  "formula": "PaSnRh",
  "functional": "PBE-GGA",
  "state": "relaxed",
  "space_group": "I4mm",
  "energy_ev_per_atom": -7.47,
  "dos_ef_per_ev_cell": 1.759,
  "ef_mev_per_atom": -518,
  "lattice_angstrom": [[-2.581, -2.126, 0.369], [1.117, -1.809, -2.607], [3.761, -1.114, 4.556]],
  "species": ["Sn", "Pa", "Rh"],
  "fractional_positions": [[0.304, 0.304, 0.608], [0.599, 0.599, 0.198], [0.947, 0.947, 0.895]]
}

{
  "formula": "NbSeO5",
  "functional": "PBE-GGA",
  "state": "relaxed",
  "space_group": "P1",
  "energy_ev_per_atom": -6.99,
  "dos_ef_per_ev_cell": 0.000,
  "e_form_raw_ev_per_atom": -1.517,
  "lattice_angstrom": [[-3.693, 1.853, -3.458], [4.280, 0.207, -3.996], [-2.580, -7.383, 2.374]],
  "species": ["O", "O", "O", "O", "O", "O", "O", "O", "O", "O", "Nb", "Nb", "Se", "Se"],
  "fractional_positions": [[0.004, 0.803, 0.719], [0.745, 0.280, 0.574], [0.969, 0.167, 0.254], [0.680, 0.528, 0.329], [0.651, 0.178, 0.848], [0.197, 0.393, 0.075], [0.758, 0.693, 0.939], [0.342, 0.929, 0.089], [0.276, 0.670, 0.466], [0.295, 0.362, 0.663], [0.050, 0.011, 0.993], [0.993, 0.462, 0.490], [0.406, 0.661, 0.290], [0.620, 0.380, 0.762]]
}

{
  "formula": "Y3Ho4ErSe8",
  "functional": "PBE-GGA",
  "state": "relaxed",
  "space_group": "R-3m",
  "energy_ev_per_atom": -6.11,
  "dos_ef_per_ev_cell": 10.584,
  "e_form_raw_ev_per_atom": -1.729,
  "lattice_angstrom": [[-2.724, 7.386, -2.028], [-3.066, -3.025, -6.901], [-2.073, -3.276, 7.146]],
  "species": ["Ho", "Ho", "Ho", "Ho", "Se", "Se", "Se", "Se", "Se", "Se", "Se", "Se", "Y", "Y", "Y", "Er"],
  "fractional_positions": [[0.000, 0.000, 0.500], [0.500, 0.000, 0.500], [0.000, 0.000, 0.000], [0.500, 0.000, 0.000], [0.751, 0.249, 0.998], [0.249, 0.247, 0.498], [0.249, 0.752, 0.499], [0.753, 0.751, 0.002], [0.751, 0.248, 0.501], [0.247, 0.249, 0.998], [0.751, 0.753, 0.502], [0.249, 0.751, 0.002], [0.000, 0.500, 0.500], [0.500, 0.500, 0.000], [0.500, 0.500, 0.500], [0.000, 0.500, 0.000]]
}